Here is an optimized crystal structure of La3Tb2Nd2Tl4 from the Alexandria database. Energies are from PBE-GGA.

Cell: 5.544 5.544 13.439 Å, 90.00 90.00 120.00°
Sites, in units of the cell vectors:
La  0.000  0.000  0.000
La  0.000  0.000  0.282
La  0.000  0.000  0.718
Tb  0.333  0.667  0.596
Tb  0.667  0.333  0.404
Nd  0.333  0.667  0.124
Nd  0.667  0.333  0.876
Tl  0.333  0.667  0.368
Tl  0.333  0.667  0.860
Tl  0.667  0.333  0.140
Tl  0.667  0.333  0.632

Crystal system ... trigonal
Energy relative to the elements ... -0.21 eV/atom
SG ... No. 164
Fermi-level density of states ... 15.565 states/eV per cell

***

Here is an optimized crystal structure of CrPb2Au2 from the Alexandria database. Energies are from PBE-GGA.

Cell: 7.236 7.236 4.530 Å, 90.00 90.00 90.00°
Sites, in units of the cell vectors:
Cr  0.000  0.000  0.000
Cr  0.500  0.500  0.000
Pb  0.176  0.324  0.500
Pb  0.324  0.824  0.500
Pb  0.676  0.176  0.500
Pb  0.824  0.676  0.500
Au  0.140  0.640  0.000
Au  0.360  0.140  0.000
Au  0.640  0.860  0.000
Au  0.860  0.360  0.000

Crystal system ... tetragonal
Energy relative to the elements ... 0.19 eV/atom
SG ... No. 127
E above lowest polymorph ... 0.000 eV/atom
Fermi-level density of states ... 4.883 states/eV per cell

***

Here is an optimized crystal structure of Mg4RhPb from the Alexandria database. Energies are from PBE-GGA.

Cell: 5.594 5.594 5.594 Å, 60.00 60.00 60.00°
Sites, in units of the cell vectors:
Mg  0.376  0.376  0.376
Mg  0.376  0.376  0.872
Mg  0.376  0.872  0.376
Mg  0.872  0.376  0.376
Rh  0.750  0.750  0.750
Pb  0.000  0.000  0.000

Crystal system ... cubic
Energy relative to the elements ... 0.10 eV/atom
SG ... No. 216
E above lowest polymorph ... 0.321 eV/atom
Fermi-level density of states ... 3.514 states/eV per cell

***

Here is an optimized crystal structure of SrRhS2Cl from the Alexandria database. Energies are from PBE-GGA.

Cell: 5.626 5.626 5.415 Å, 90.00 90.00 90.00°
Sites, in units of the cell vectors:
Sr  0.000  0.000  0.000
Rh  0.500  0.500  0.500
S  0.000  0.500  0.000
S  0.500  0.000  0.000
Cl  0.000  0.000  0.500

Crystal system ... tetragonal
SG ... No. 123
E above lowest polymorph ... 1.335 eV/atom
Formation energy without anion corrections ... 0.4495 eV/atom
Fermi-level density of states ... 9.365 states/eV per cell

***

Here is an optimized crystal structure of Re6Tc2Ru from the Alexandria database. Energies are from PBE-GGA.

Cell: 6.014 6.014 6.014 Å, 136.14 103.14 92.96°
Sites, in units of the cell vectors:
Re  0.157  0.340  0.816
Re  0.183  0.000  0.183
Re  0.476  0.660  0.816
Re  0.524  0.340  0.184
Re  0.817  0.000  0.817
Re  0.843  0.660  0.184
Tc  0.308  0.808  0.500
Tc  0.692  0.192  0.500
Ru  0.000  0.500  0.500

Crystal system ... orthorhombic
Energy relative to the elements ... 0.37 eV/atom
SG ... No. 71
Fermi-level density of states ... 8.221 states/eV per cell

***

Here is an optimized crystal structure of Sn2SbCl2 from the Alexandria database. Energies are from PBE-GGA.

Cell: 9.046 9.046 3.402 Å, 90.00 90.00 90.00°
Sites, in units of the cell vectors:
Sn  0.211  0.289  0.000
Sn  0.289  0.789  0.000
Sn  0.711  0.211  0.000
Sn  0.789  0.711  0.000
Sb  0.000  0.000  0.000
Sb  0.500  0.500  0.000
Cl  0.125  0.625  0.500
Cl  0.375  0.125  0.500
Cl  0.625  0.875  0.500
Cl  0.875  0.375  0.500

Crystal system ... tetragonal
SG ... No. 127
E above lowest polymorph ... 0.000 eV/atom
Formation energy without anion corrections ... -0.3473 eV/atom
Fermi-level density of states ... 3.649 states/eV per cell

***

Here is an optimized crystal structure of Cr2HRh from the Alexandria database. Energies are from PBE-GGA.

Cell: 4.006 4.006 4.006 Å, 60.00 60.00 60.00°
Sites, in units of the cell vectors:
Cr  0.250  0.250  0.250
Cr  0.750  0.750  0.750
H  0.000  0.000  0.000
Rh  0.500  0.500  0.500

Crystal system ... cubic
SG ... No. 225
E above lowest polymorph ... 0.772 eV/atom
Fermi-level density of states ... 6.316 states/eV per cell

***

Here is an optimized crystal structure of SrCrIr2 from the Alexandria database. Energies are from PBE-GGA.

Cell: 4.849 4.849 3.095 Å, 90.00 90.00 90.00°
Sites, in units of the cell vectors:
Sr  0.000  0.000  0.000
Cr  0.500  0.500  0.000
Ir  0.000  0.500  0.500
Ir  0.500  0.000  0.500

Crystal system ... tetragonal
Energy relative to the elements ... 0.52 eV/atom
SG ... No. 123
E above lowest polymorph ... 0.499 eV/atom
Fermi-level density of states ... 3.912 states/eV per cell

***

Question: Which of these has the highest Fermi-level density of states?
Answer: La3Tb2Nd2Tl4

***

Question: What is the Fermi-level density of states in the second record?
Answer: 4.883 states/eV per cell

***

What did the third record say?
Here is an optimized crystal structure of Mg4RhPb from the Alexandria database. Energies are from PBE-GGA.

Cell: 5.594 5.594 5.594 Å, 60.00 60.00 60.00°
Sites, in units of the cell vectors:
Mg  0.376  0.376  0.376
Mg  0.376  0.376  0.872
Mg  0.376  0.872  0.376
Mg  0.872  0.376  0.376
Rh  0.750  0.750  0.750
Pb  0.000  0.000  0.000

Crystal system ... cubic
Energy relative to the elements ... 0.10 eV/atom
SG ... No. 216
E above lowest polymorph ... 0.321 eV/atom
Fermi-level density of states ... 3.514 states/eV per cell

***

Question: Among the records above, which one has the highest Fermi-level density of states?
Answer: La3Tb2Nd2Tl4